1.
# SrCa2PmHg4, optimized geometry, DFT PBE
# ΔE_f	-0.53	eV/atom
# density of states at the Fermi level	0.816	states/eV per atom
# crystal system	trigonal
data_SrCa2PmHg4
_symmetry_space_group_name_H-M 'R -3 m'
_symmetry_Int_Tables_number 166
_symmetry_space_group_name_Hall '-R 3 2"'
_cell_length_a 5.4338
_cell_length_b 5.4338
_cell_length_c 26.6868
_cell_angle_alpha 90.00
_cell_angle_beta 90.00
_cell_angle_gamma 120.00
loop_
_atom_site_label
_atom_site_type_symbol
_atom_site_fract_x
_atom_site_fract_y
_atom_site_fract_z
Sr1 Sr 0.0000 0.0000 0.0000
Ca1 Ca 0.0000 0.0000 0.2501
Pm1 Pm 0.0000 0.0000 0.5000
Hg1 Hg 0.0000 0.0000 0.1274
Hg2 Hg 0.0000 0.0000 0.3781

---

2.
# CaTbPmHg, optimized geometry, DFT PBE
# ΔE_f	0.01	eV/atom
# density of states at the Fermi level	1.196	states/eV per atom
# crystal system	cubic
data_CaTbPmHg
_symmetry_space_group_name_H-M 'F -4 3 m'
_symmetry_Int_Tables_number 216
_symmetry_space_group_name_Hall 'F -4 2 3'
_cell_length_a 7.8358
_cell_length_b 7.8358
_cell_length_c 7.8358
_cell_angle_alpha 90.00
_cell_angle_beta 90.00
_cell_angle_gamma 90.00
loop_
_atom_site_label
_atom_site_type_symbol
_atom_site_fract_x
_atom_site_fract_y
_atom_site_fract_z
Ca1 Ca 0.0000 0.0000 0.0000
Tb1 Tb 0.0000 0.0000 0.5000
Pm1 Pm 0.2500 0.2500 0.2500
Hg1 Hg 0.2500 0.2500 0.7500